## Y2HoCo2B2O3 (GGA+U)

Data for crystalline Y2HoCo2B2O3 at its relaxed geometry.

Properties
raw total energy = -72.47 eV/f.u.
total magnetic moment = 0.006 μB per formula unit
symmetry = No. 139

Structure (POSCAR):
```
Y2HoCo2B2O3
1.0
-1.7009 1.7009 10.7248
1.7009 -1.7009 10.7248
1.7009 1.7009 -10.7248
Y Ho Co B O
2 1 2 2 3
Direct
0.1372 0.1372 0.0000
0.8628 0.8628 0.0000
0.5000 0.5000 0.0000
0.2500 0.7500 0.5000
0.7500 0.2500 0.5000
0.2901 0.2901 0.0000
0.7099 0.7099 0.0000
0.0000 0.0000 0.0000
0.3981 0.3981 0.0000
0.6019 0.6019 0.0000
```